# 1
{
  "formula": "GdTePb",
  "functional": "PBE",
  "state": "relaxed",
  "cell": [[0.0000, 3.6860, 3.6860], [3.6860, 0.0000, 3.6860], [3.6860, 3.6860, 0.0000]],
  "species": ["Gd", "Pb", "Te"],
  "fractional_positions": [[0.2500, 0.2500, 0.2500], [0.7500, 0.7500, 0.7500], [0.0000, 0.0000, 0.0000]],
  "m_tot_mub_per_atom": 0.00,
  "total_energy_ev_per_cell": -12.56,
  "sg": "F-43m"
}

---

# 2
{
  "formula": "GdTePb",
  "functional": "PBE",
  "state": "relaxed",
  "cell": [[4.8597, -1.7164, 1.0006], [1.2432, -5.0239, -0.8824], [3.2090, -1.2533, -3.9618]],
  "species": ["Gd", "Pb", "Te"],
  "fractional_positions": [[0.0000, 0.0000, 0.0000], [0.2500, 0.2500, 0.2500], [0.7500, 0.7500, 0.7500]],
  "m_tot_mub_per_atom": 0.03,
  "total_energy_ev_per_cell": -12.56,
  "sg": "F-43m"
}

---

# 3
{
  "formula": "GdTmTe3Pb",
  "functional": "PBE",
  "state": "relaxed",
  "cell": [[2.2260, -7.6622, 0.0000], [2.2260, 7.6622, 0.0000], [0.0000, 0.0000, 11.8124]],
  "species": ["Gd", "Gd", "Pb", "Pb", "Te", "Te", "Te", "Te", "Te", "Te", "Tm", "Tm"],
  "fractional_positions": [[0.5000, 0.5000, 0.0000], [0.5000, 0.5000, 0.5000], [0.3027, 0.6973, 0.2500], [0.6973, 0.3027, 0.7500], [0.8597, 0.1403, 0.0442], [0.5981, 0.4019, 0.2500], [0.8597, 0.1403, 0.4558], [0.1403, 0.8597, 0.5442], [0.4019, 0.5981, 0.7500], [0.1403, 0.8597, 0.9558], [0.9724, 0.0276, 0.2500], [0.0276, 0.9724, 0.7500]],
  "m_tot_mub_per_atom": 0.00,
  "total_energy_ev_per_cell": -55.07,
  "sg": "Cmcm"
}

---

# 4
{
  "formula": "GdThPb",
  "functional": "PBE",
  "state": "relaxed",
  "cell": [[4.9554, 0.4256, 1.7630], [0.9379, 0.3237, 5.1828], [2.2566, -4.0435, 2.5305]],
  "species": ["Gd", "Pb", "Th"],
  "fractional_positions": [[0.2500, 0.2500, 0.2500], [0.0000, 0.0000, 0.0000], [0.7500, 0.7500, 0.7500]],
  "m_tot_mub_per_atom": 0.01,
  "total_energy_ev_per_cell": -15.76,
  "sg": "F-43m"
}